Record 1
Entry from Alexandria: an optimized crystal structure of KMnIn2Pb (GGA-PBE).

Calculated values
Energy of formation from the pure elements = 1.287 eV/atom

Cell: 5.889 5.889 6.058 Å, 90.00 90.00 90.00°
Positions (direct):
K 0.000 0.000 0.000
Mn 0.500 0.500 0.500
In 0.000 0.500 0.000
In 0.500 0.000 0.000
Pb 0.000 0.000 0.500

***

Record 2
Entry from Alexandria: an optimized crystal structure of K2MnInRe (GGA-PBE).

Calculated values
Energy of formation from the pure elements = 1.776 eV/atom

Cell: 6.582 6.582 5.154 Å, 90.00 90.00 90.00°
Positions (direct):
K 0.000 0.500 0.000
K 0.500 0.000 0.000
Mn 0.000 0.000 0.500
In 0.000 0.000 0.000
Re 0.500 0.500 0.500

***

Record 3
Entry from Alexandria: an optimized crystal structure of K2MnInS4 (GGA-PBE).

Calculated values
ΔE_f (raw) = -0.772 eV per atom

Cell: 7.870 7.870 8.184 Å, 118.78 118.78 89.47°
Positions (direct):
K 0.000 0.000 0.000
K 0.000 0.000 0.500
K 0.000 0.500 0.000
K 0.500 0.000 0.500
Mn 0.000 0.500 0.500
Mn 0.500 0.000 0.000
In 0.500 0.500 0.000
In 0.500 0.500 0.500
S 0.233 0.703 0.504
S 0.248 0.310 0.535
S 0.297 0.767 0.996
S 0.310 0.248 0.035
S 0.690 0.752 0.965
S 0.703 0.233 0.004
S 0.752 0.690 0.465
S 0.767 0.297 0.496

***

Record 4
Entry from Alexandria: an optimized crystal structure of K2MnInS (GGA-PBE).

Calculated values
ΔE_f (raw) = -0.129 eV per atom

Cell: 6.234 6.234 4.486 Å, 90.00 90.00 90.00°
Positions (direct):
K 0.000 0.500 0.000
K 0.500 0.000 0.000
Mn 0.000 0.000 0.500
In 0.500 0.500 0.500
S 0.000 0.000 0.000

***

Record 5
Entry from Alexandria: an optimized crystal structure of KMnInS3 (GGA-PBE).

Calculated values
ΔE_f (raw) = -0.752 eV per atom

Cell: 8.727 3.899 9.568 Å, 90.00 106.38 90.00°
Positions (direct):
K 0.213 0.250 0.245
K 0.787 0.750 0.755
Mn 0.097 0.250 0.613
Mn 0.903 0.750 0.387
In 0.339 0.750 0.883
In 0.661 0.250 0.117
S 0.131 0.250 0.869
S 0.195 0.750 0.518
S 0.473 0.750 0.161
S 0.527 0.250 0.839
S 0.805 0.250 0.482
S 0.869 0.750 0.131

***

Record 6
Entry from Alexandria: an optimized crystal structure of KMnInSe3 (GGA-PBE).

Calculated values
ΔE_f (raw) = -0.696 eV per atom

Cell: 9.100 4.072 9.916 Å, 90.00 106.53 90.00°
Positions (direct):
K 0.210 0.250 0.245
K 0.790 0.750 0.755
Mn 0.091 0.250 0.612
Mn 0.909 0.750 0.388
In 0.339 0.750 0.885
In 0.661 0.250 0.115
Se 0.126 0.250 0.873
Se 0.202 0.750 0.521
Se 0.475 0.750 0.167
Se 0.525 0.250 0.833
Se 0.798 0.250 0.479
Se 0.874 0.750 0.127

***

Total magnetization for the records above, in order: 4.69; 8.55; 4.00; 3.10; 5.00; 5.00 μB/f.u.